(one)
Density functional theory data (PBE-GGA) for KTaRe2 after structural relaxation.

Computed properties:
magnetization	0.00	μB/f.u.

Lattice parameters (Å, degrees): 5.3145 5.3145 2.6594 90.00 90.00 90.00
With the nearest neighbours (Å) after each atom.
Space group P4/mmm (No. 123)
Unique sites:
K  0.0000  0.0000  0.0000 [1 per cell]  2 K 2.66, 8 Re 2.97
Ta  0.5000  0.5000  0.0000 [1 per cell]  2 Ta 2.66, 8 Re 2.97
Re  0.0000  0.5000  0.5000 [2 per cell]  2 Re 2.66, 4 Ta 2.97, 4 K 2.97

=====

(two)
Density functional theory data (PBE-GGA) for KTaRe2 after structural relaxation.

Computed properties:
magnetization	0.00	μB/f.u.

Lattice parameters (Å, degrees): 5.8308 9.6734 2.6026 90.00 90.00 90.00
With the nearest neighbours (Å) after each atom.
Space group Cmmm (No. 65)
Unique sites:
K  0.0000  0.0000  0.0000 [2 per cell]  2 K 2.60
Ta  0.0000  0.5000  0.0000 [2 per cell]  2 Ta 2.60
Re  0.2500  0.2500  0.5000 [4 per cell]  2 Re 2.60

=====

(three)
Density functional theory data (PBE-GGA) for KTaRe2 after structural relaxation.

Computed properties:
magnetization	0.00	μB/f.u.

Lattice parameters (Å, degrees): 2.9008 4.8926 4.9696 90.00 90.00 90.00
With the nearest neighbours (Å) after each atom.
Space group Pmmm (No. 47)
Unique sites:
K  0.0000  0.0000  0.0000 [1 per cell]  4 Ta 2.84, 4 Re 2.88, 2 K 2.90
Ta  0.5000  0.5000  0.0000 [1 per cell]  4 K 2.84, 4 Re 2.88, 2 Ta 2.90
Re  0.0000  0.5000  0.5000 [1 per cell]  6 Re 2.84-2.90, 4 Ta 2.88
Re  0.5000  0.0000  0.5000 [1 per cell]  6 Re 2.84-2.90, 4 K 2.88

=====

Of them, (two) has the highest stability.

=====

(one)
Density functional theory data (PBE-GGA) for KTaRe2 after structural relaxation.

Computed properties:
magnetization	0.00	μB/f.u.

Lattice parameters (Å, degrees): 6.6040 6.6040 6.6040 90.00 90.00 90.00
With the nearest neighbours (Å) after each atom.
Space group Fm-3m (No. 225)
Unique sites:
K  0.0000  0.0000  0.0000 [4 per cell]  8 Re 2.86
Ta  0.0000  0.0000  0.5000 [4 per cell]  8 Re 2.86
Re  0.2500  0.2500  0.2500 [8 per cell]  4 Ta 2.86, 4 K 2.86

=====

(two)
Density functional theory data (PBE-GGA) for KTaRe2 after structural relaxation.

Computed properties:
magnetization	0.48	μB/f.u.

Lattice parameters (Å, degrees): 2.9644 2.9644 9.7870 90.00 90.00 90.00
With the nearest neighbours (Å) after each atom.
Space group P4mm (No. 99)
Unique sites:
K  0.0000  0.0000  0.0000 [1 per cell]  4 K 2.96
Ta  0.5000  0.5000  0.6552 [1 per cell]  4 Re 2.86, 4 Ta 2.96
Re  0.0000  0.0000  0.4566 [1 per cell]  4 Re 2.58, 4 Ta 2.86
Re  0.5000  0.5000  0.3035 [1 per cell]  4 Re 2.58

=====

(three)
Density functional theory data (PBE-GGA) for KTaRe2 after structural relaxation.

Computed properties:
magnetization	0.03	μB/f.u.

Lattice parameters (Å, degrees): 2.9784 5.0862 9.7756 90.00 90.00 90.00
With the nearest neighbours (Å) after each atom.
Space group Immm (No. 71)
Unique sites:
K  0.0000  0.0000  0.0000 [2 per cell]  4 Ta 2.95, 2 K 2.98, 4 Re 3.06
Ta  0.0000  0.0000  0.5000 [2 per cell]  4 Re 2.67, 4 K 2.95, 2 Ta 2.98
Re  0.0000  0.5000  0.2262 [4 per cell]  2 Ta 2.67, 6 Re 2.98

=====

Of them, (two) has the highest stability.

=====

(one)
Density functional theory data (PBE-GGA) for KTaRe after structural relaxation.

Computed properties:
magnetization	0.00	μB/f.u.

Lattice parameters (Å, degrees): 3.1832 4.9381 16.5053 90.00 90.00 90.00
With the nearest neighbours (Å) after each atom.
Space group Fmm2 (No. 42)
Unique sites:
K  0.0000  0.0000  0.0000 [4 per cell]  6 K 2.94-3.18
Ta  0.0000  0.0000  0.6993 [4 per cell]  2 Re 2.55
Re  0.0000  0.0000  0.3203 [4 per cell]  2 Ta 2.55

=====

(two)
Density functional theory data (PBE-GGA) for KTaRe after structural relaxation.

Computed properties:
magnetization	0.00	μB/f.u.

Lattice parameters (Å, degrees): 2.8449 2.8449 8.7282 90.00 90.00 120.00
With the nearest neighbours (Å) after each atom.
Space group P3m1 (No. 156)
Unique sites:
K  0.0000  0.0000  0.0000 [1 per cell]  6 K 2.84
Ta  0.3333  0.6667  0.6206 [1 per cell]  6 Ta 2.84, 3 Re 2.92
Re  0.6667  0.3333  0.3436 [1 per cell]  6 Re 2.84, 3 Ta 2.92

=====

(three)
Density functional theory data (PBE-GGA) for KTaRe after structural relaxation.

Computed properties:
magnetization	0.00	μB/f.u.

Lattice parameters (Å, degrees): 3.2717 3.2717 14.4458 90.00 90.00 90.00
With the nearest neighbours (Å) after each atom.
Space group I4mm (No. 107)
Unique sites:
K  0.0000  0.0000  0.0000 [2 per cell]  4 K 3.27, 4 Re 3.58
Ta  0.0000  0.0000  0.7305 [2 per cell]  4 Re 2.59
Re  0.0000  0.0000  0.3111 [2 per cell]  4 Ta 2.59

=====

(four)
Density functional theory data (PBE-GGA) for KTaRe after structural relaxation.

Computed properties:
magnetization	0.00	μB/f.u.

Lattice parameters (Å, degrees): 2.7277 2.7277 17.1877 90.00 90.00 90.00
With the nearest neighbours (Å) after each atom.
Space group I4mm (No. 107)
Unique sites:
K  0.0000  0.0000  0.0000 [2 per cell]  4 K 2.73
Ta  0.0000  0.0000  0.3013 [2 per cell]  4 Ta 2.73, 4 Re 2.95
Re  0.0000  0.0000  0.6716 [2 per cell]  4 Re 2.73, 4 Ta 2.95

=====

Of them, (three) has the highest stability.

=====

(one)
Density functional theory data (PBE-GGA) for KTaRe after structural relaxation.

Computed properties:
magnetization	0.34	μB/f.u.

Lattice parameters (Å, degrees): 6.5036 6.5036 6.5036 90.00 90.00 90.00
With the nearest neighbours (Å) after each atom.
Space group F-43m (No. 216)
Unique sites:
K  0.0000  0.0000  0.0000 [4 per cell]  4 Re 2.82, 4 Ta 2.82
Ta  0.2500  0.2500  0.2500 [4 per cell]  4 K 2.82
Re  0.2500  0.2500  0.7500 [4 per cell]  4 K 2.82

=====

(two)
Density functional theory data (PBE-GGA) for KTaRe after structural relaxation.

Computed properties:
magnetization	0.00	μB/f.u.

Lattice parameters (Å, degrees): 6.4922 6.4922 6.4922 90.00 90.00 90.00
With the nearest neighbours (Å) after each atom.
Space group F-43m (No. 216)
Unique sites:
K  0.0000  0.0000  0.0000 [4 per cell]  4 Re 2.81
Ta  0.0000  0.0000  0.5000 [4 per cell]  4 Re 2.81
Re  0.2500  0.2500  0.7500 [4 per cell]  4 Ta 2.81, 4 K 2.81

=====

Of them, (two) has the highest stability.

=====

(one)
Density functional theory data (PBE-GGA) for K2ReTc after structural relaxation.

Computed properties:
magnetization	0.00	μB/f.u.

Lattice parameters (Å, degrees): 5.3221 11.7674 2.6514 90.00 90.00 90.00
With the nearest neighbours (Å) after each atom.
Space group Cmmm (No. 65)
Unique sites:
K  0.2500  0.2500  0.0000 [4 per cell]  4 K 2.65-2.66
Re  0.0000  0.0000  0.5000 [2 per cell]  2 Re 2.65, 2 Tc 2.66
Tc  0.0000  0.5000  0.5000 [2 per cell]  2 Tc 2.65, 2 Re 2.66

=====

(two)
Density functional theory data (PBE-GGA) for K2ReTc after structural relaxation.

Computed properties:
magnetization	1.05	μB/f.u.

Lattice parameters (Å, degrees): 2.8217 2.8217 35.9569 90.00 90.00 120.00
With the nearest neighbours (Å) after each atom.
Space group R-3m (No. 166, hexagonal axes)
Unique sites:
K  0.0000  0.0000  0.2504 [6 per cell]  6 K 2.82
Re  0.0000  0.0000  0.0000 [3 per cell]  6 Re 2.82
Tc  0.0000  0.0000  0.5000 [3 per cell]  6 Tc 2.82

=====

(three)
Density functional theory data (PBE-GGA) for K2ReTc after structural relaxation.

Computed properties:
magnetization	0.00	μB/f.u.

Lattice parameters (Å, degrees): 3.1715 4.8459 12.0457 90.00 90.00 90.00
With the nearest neighbours (Å) after each atom.
Space group Cmm2 (No. 35)
Unique sites:
K  0.0000  0.0000  0.0000 [2 per cell]  6 K 2.90-3.17
K  0.0000  0.5000  0.3508 [2 per cell]  6 K 2.90-3.17
Re  0.0000  0.5000  0.7562 [2 per cell]  2 Tc 2.54
Tc  0.0000  0.0000  0.5919 [2 per cell]  2 Re 2.54

=====

(four)
Density functional theory data (PBE-GGA) for K2ReTc after structural relaxation.

Computed properties:
magnetization	0.00	μB/f.u.

Lattice parameters (Å, degrees): 3.1745 4.3522 11.8880 90.00 90.00 90.00
With the nearest neighbours (Å) after each atom.
Space group Cmmm (No. 65)
Unique sites:
K  0.0000  0.0000  0.2499 [4 per cell]  4 K 2.69
Re  0.0000  0.5000  0.0000 [2 per cell]  4 Re 2.69
Tc  0.0000  0.5000  0.5000 [2 per cell]  4 Tc 2.69

=====

Of them, (three) has the highest stability.